VASP calculation (GGA-PBE) on a geometry-optimized Pm3Y2Er7 structure.

The energy relative to the lowest polymorph listed for this composition is 0.0000 eV/atom.

The space group is P2/m (No. 10) and the conventional cell measures 6.327, 3.512 and 17.463 Å, with angles of 90.00, 96.22 and 90.00 degrees. The distinct sites, in fractional coordinates, are Pm at (0.000, 0.000, 0.000), Pm at (0.048, 0.500, 0.658), Y at (0.444, 0.000, 0.326), Er at (0.230, 0.500, 0.165), Er at (0.247, 0.000, 0.500), Er at (0.274, 0.000, 0.834) and Er at (0.500, 0.500, 0.000).


VASP calculation (GGA-PBE) on a geometry-optimized Pm4YEr structure.

The energy relative to the lowest polymorph listed for this composition is 0.5321 eV/atom.

The space group is Cmmm (No. 65) and the conventional cell measures 11.693, 11.715 and 3.472 Å, with angles of 90.00, 90.00 and 90.00 degrees. The distinct sites, in fractional coordinates, are Pm at (0.000, 0.241, 0.000), Pm at (0.238, 0.500, 0.500), Y at (0.000, 0.000, 0.500) and Er at (0.000, 0.500, 0.000).


VASP calculation (GGA-PBE) on a geometry-optimized Pm14YEr structure.

The space group is Amm2 (No. 38) and the conventional cell measures 10.268, 10.300 and 10.301 Å, with angles of 90.00, 90.00 and 90.00 degrees. The distinct sites, in fractional coordinates, are Pm at (0.000, 0.000, 0.000), Pm at (0.000, 0.000, 0.499), Pm at (0.000, 0.250, 0.250), Pm at (0.252, 0.000, 0.250), Pm at (0.252, 0.000, 0.749), Pm at (0.252, 0.249, 0.500), Pm at (0.500, 0.250, 0.250), Y at (0.500, 0.000, 0.999) and Er at (0.500, 0.000, 0.500).


VASP calculation (GGA-PBE) on a geometry-optimized Pm7YEr12 structure.

The energy relative to the lowest polymorph listed for this composition is 0.0000 eV/atom.

The space group is R-3 (No. 148, hexagonal axes) and the conventional cell measures 11.9182, 11.9182 and 16.2129 Å, with angles of 90.00, 90.00 and 120.00 degrees. The distinct sites, in fractional coordinates, are Pm at (0.0000, 0.0000, 0.0000), Pm at (0.0541, 0.8654, 0.2902), Y at (0.0000, 0.0000, 0.5000), Er at (0.0227, 0.5745, 0.2214) and Er at (0.0504, 0.4640, 0.5831).


VASP calculation (GGA-PBE) on a geometry-optimized PmY2Er structure.

The energy relative to the lowest polymorph listed for this composition is 0.1063 eV/atom.

The space group is P4/mmm (No. 123) and the conventional cell measures 4.173, 4.173 and 7.515 Å, with angles of 90.00, 90.00 and 90.00 degrees. The distinct sites, in fractional coordinates, are Pm at (0.000, 0.000, 0.000), Y at (0.500, 0.500, 0.256) and Er at (0.000, 0.000, 0.500).


VASP calculation (GGA-PBE) on a geometry-optimized PmYEr structure.

The energy relative to the lowest polymorph listed for this composition is 0.0000 eV/atom.

The space group is P-1 (No. 2) and the conventional cell measures 6.312, 6.317 and 6.760 Å, with angles of 62.20, 62.20 and 60.05 degrees. The distinct sites, in fractional coordinates, are Pm at (0.083, 0.251, 0.251), Y at (0.252, 0.082, 0.751) and Er at (0.418, 0.581, 0.250).


VASP calculation (GGA-PBE) on a geometry-optimized Pm3Y3Er2 structure.

The energy relative to the lowest polymorph listed for this composition is 0.0000 eV/atom.

The space group is Immm (No. 71) and the conventional cell measures 5.071, 5.073 and 20.275 Å, with angles of 90.00, 90.00 and 90.00 degrees. The distinct sites, in fractional coordinates, are Pm at (0.000, 0.000, 0.000), Pm at (0.000, 0.500, 0.126), Y at (0.000, 0.000, 0.500), Y at (0.000, 0.500, 0.373) and Er at (0.000, 0.000, 0.250).


VASP calculation (GGA-PBE) on a geometry-optimized PmY8Er2 structure.

The energy relative to the lowest polymorph listed for this composition is 0.0162 eV/atom.

The space group is Cm (No. 8) and the conventional cell measures 10.186, 13.274 and 5.422 Å, with angles of 90.00, 90.08 and 90.00 degrees. The distinct sites, in fractional coordinates, are Pm at (0.000, 0.000, 0.000), Y at (0.001, 0.256, 0.000), Y at (0.165, 0.500, 0.000), Y at (0.166, 0.135, 0.501), Y at (0.334, 0.365, 0.499), Y at (0.335, 0.000, 0.000) and Er at (0.000, 0.380, 0.500).


VASP calculation (GGA-PBE) on a geometry-optimized PmY7Er2 structure.

The energy relative to the lowest polymorph listed for this composition is 0.5780 eV/atom.

The space group is Cmmm (No. 65) and the conventional cell measures 8.841, 15.851 and 5.672 Å, with angles of 90.00, 90.00 and 90.00 degrees. The distinct sites, in fractional coordinates, are Pm at (0.000, 0.000, 0.000), Y at (0.000, 0.224, 0.000), Y at (0.000, 0.500, 0.500), Y at (0.178, 0.117, 0.500) and Er at (0.000, 0.297, 0.500).


VASP calculation (GGA-PBE) on a geometry-optimized Pm2Y5Er3 structure.

The energy relative to the lowest polymorph listed for this composition is 0.0000 eV/atom.

The space group is C2/c (No. 15) and the conventional cell measures 10.684, 16.118 and 9.343 Å, with angles of 90.00, 124.76 and 90.00 degrees. The distinct sites, in fractional coordinates, are Pm at (0.142, 0.124, 0.044), Y at (0.000, 0.231, 0.250), Y at (0.000, 0.273, 0.750), Y at (0.000, 0.472, 0.750), Y at (0.239, 0.384, 0.232), Er at (0.000, 0.027, 0.250) and Er at (0.155, 0.380, 0.550).


| no. | DFT total energy (eV per cell) | ΔH_f (0 K) (eV per formula unit) |
| --- | --- | --- |
| 1 | -58.064 | 1.06 |
| 2 | -52.395 | 3.83 |
| 3 | -154.599 | 0.24 |
| 4 | -269.429 | 4.66 |
| 5 | -21.773 | 0.47 |
| 6 | -31.496 | 0.03 |
| 7 | -85.186 | 0.18 |
| 8 | -127.272 | 1.95 |
| 9 | -104.341 | 6.95 |
| 10 | -214.541 | 1.87 |